Entry 1:
A plane-wave DFT calculation with PBE-GGA was carried out for a relaxed structure of GdAlGa2.

- Magnetization: 0.00 μB/cell
- E_tot: -4.13 eV per atom

Cell lengths 4.5530, 6.3464, 6.3464 Å; angles 120.35, 90.00, 90.00 degrees
Fractional coordinates of all 8 atoms:
Gd  0.2500  0.1679  0.8321
Gd  0.7500  0.8321  0.1679
Al  0.2500  0.6440  0.7834
Al  0.7500  0.7834  0.6440
Ga  0.2500  0.2061  0.3498
Ga  0.2500  0.6487  0.3542
Ga  0.7500  0.3498  0.2061
Ga  0.7500  0.3542  0.6487

Entry 2:
A plane-wave DFT calculation with PBE-GGA was carried out for a relaxed structure of GdAlGa2.

- Magnetization: 0.00 μB/cell
- E_tot: -4.14 eV per atom

Cell lengths 4.5482, 6.3394, 6.3394 Å; angles 59.71, 90.00, 90.00 degrees
Fractional coordinates of all 8 atoms:
Gd  0.0000  0.0000  0.0000
Gd  0.5000  0.3365  0.3365
Al  0.0000  0.5211  0.9552
Al  0.0000  0.9552  0.5211
Ga  0.0000  0.5198  0.5198
Ga  0.5000  0.3753  0.8184
Ga  0.5000  0.8147  0.8147
Ga  0.5000  0.8184  0.3753

Entry 3:
A plane-wave DFT calculation with PBE-GGA was carried out for a relaxed structure of Gd3Al2GaGe2Pd.

- Magnetization: 0.00 μB/cell
- E_tot: -5.13 eV per atom

Cell lengths 4.2941, 7.0078, 7.0078 Å; angles 119.02, 90.00, 90.00 degrees
Fractional coordinates of all 9 atoms:
Gd  0.0000  0.0000  0.0000
Gd  0.0000  0.1689  0.5780
Gd  0.0000  0.5780  0.1689
Al  0.5000  0.5851  0.8169
Al  0.5000  0.8169  0.5851
Ga  0.5000  0.3503  0.3503
Ge  0.5000  0.2498  0.9092
Ge  0.5000  0.9092  0.2498
Pd  0.0000  0.5954  0.5954

Entry 4:
A plane-wave DFT calculation with PBE-GGA was carried out for a relaxed structure of Gd3AlGa2Ge2Pd.

- Magnetization: 0.01 μB/cell
- E_tot: -5.04 eV per atom

Cell lengths 4.2812, 7.1026, 7.1026 Å; angles 121.18, 90.00, 90.00 degrees
Fractional coordinates of all 9 atoms:
Gd  0.0000  0.0000  0.0000
Gd  0.0000  0.1779  0.5937
Gd  0.0000  0.5937  0.1779
Al  0.5000  0.3588  0.3588
Ga  0.5000  0.5869  0.8233
Ga  0.5000  0.8233  0.5869
Ge  0.5000  0.2559  0.9289
Ge  0.5000  0.9289  0.2559
Pd  0.0000  0.5775  0.5775

Entry 5:
A plane-wave DFT calculation with PBE-GGA was carried out for a relaxed structure of Gd3AlGa2Ge2Pt.

- Magnetization: 0.00 μB/cell
- E_tot: -5.20 eV per atom

Cell lengths 4.2636, 7.1019, 7.1019 Å; angles 121.11, 90.00, 90.00 degrees
Fractional coordinates of all 9 atoms:
Gd  0.0000  0.0000  0.0000
Gd  0.0000  0.1773  0.5930
Gd  0.0000  0.5930  0.1773
Al  0.5000  0.3593  0.3593
Ga  0.5000  0.5872  0.8235
Ga  0.5000  0.8235  0.5872
Ge  0.5000  0.2560  0.9286
Ge  0.5000  0.9286  0.2560
Pt  0.0000  0.5771  0.5771

Entry 6:
A plane-wave DFT calculation with PBE-GGA was carried out for a relaxed structure of Gd2HoMg3AlGa2.

- Magnetization: 0.00 μB/cell
- E_tot: -3.59 eV per atom

Cell lengths 4.5109, 7.2905, 7.2905 Å; angles 119.73, 90.00, 90.00 degrees
Fractional coordinates of all 9 atoms:
Gd  0.0000  0.2170  0.7830
Gd  0.0000  0.7830  0.2170
Ho  0.0000  0.3491  0.3491
Mg  0.5000  0.0266  0.0266
Mg  0.5000  0.5385  0.7823
Mg  0.5000  0.7823  0.5385
Al  0.0000  0.7801  0.7801
Ga  0.5000  0.1175  0.4485
Ga  0.5000  0.4485  0.1175

Entry 7:
A plane-wave DFT calculation with PBE-GGA was carried out for a relaxed structure of Gd3Mg3AlGa2.

- Magnetization: 0.01 μB/cell
- E_tot: -3.60 eV per atom

Cell lengths 7.3396, 7.3396, 4.5117 Å; angles 90.00, 90.00, 120.00 degrees
Fractional coordinates of all 9 atoms:
Gd  0.0000  0.4311  0.0000
Gd  0.4311  0.0000  0.0000
Gd  0.5689  0.5689  0.0000
Mg  0.0000  0.7543  0.5000
Mg  0.2457  0.2457  0.5000
Mg  0.7543  0.0000  0.5000
Al  0.0000  0.0000  0.0000
Ga  0.3333  0.6667  0.5000
Ga  0.6667  0.3333  0.5000

Entry 8:
A plane-wave DFT calculation with PBE-GGA was carried out for a relaxed structure of TbGd2Mg3AlGa2.

- Magnetization: 0.00 μB/cell
- E_tot: -3.60 eV per atom

Cell lengths 4.5181, 7.3138, 7.3138 Å; angles 119.91, 90.00, 90.00 degrees
Fractional coordinates of all 9 atoms:
Tb  0.0000  0.0000  0.0000
Gd  0.0000  0.4336  0.8672
Gd  0.0000  0.8672  0.4336
Mg  0.5000  0.1896  0.4334
Mg  0.5000  0.4334  0.1896
Mg  0.5000  0.6773  0.6773
Al  0.0000  0.4326  0.4326
Ga  0.5000  0.0998  0.7674
Ga  0.5000  0.7674  0.0998

- E_tot of number 7 (Gd3Mg3AlGa2)?
  -3.60 eV per atom